[1]
Entry from Alexandria: a crystal of RbCd2Pt2 relaxed with PBEsol (SCAN).

calculated volume = 20.3 Å³ per atom
raw total energy = -446.3 eV/cell
formation energy from the elements = -22.8 kJ per mole of atoms
E above lowest polymorph = 0 meV/atom

abc: 2.924 8.324 8.324
angles: 90.00 90.00 90.00
Fractional coordinates of all 10 atoms:
Cd: 0.500 0.362 0.138
Cd: 0.500 0.638 0.862
Cd: 0.500 0.138 0.638
Cd: 0.500 0.862 0.362
Rb: 0.000 0.500 0.500
Rb: 0.000 0.000 0.000
Pt: 0.000 0.655 0.155
Pt: 0.000 0.845 0.655
Pt: 0.000 0.155 0.345
Pt: 0.000 0.345 0.845

[2]
Entry from Alexandria: a crystal of RbCdSn2Pt relaxed with PBEsol (SCAN).

calculated volume = 30.5 Å³ per atom
raw total energy = -191.1 eV/cell
formation energy from the elements = 40.7 kJ per mole of atoms

abc: 5.182 5.422 5.422
angles: 90.00 90.00 90.00
Fractional coordinates of all 5 atoms:
Cd: 0.000 0.000 0.000
Rb: 0.500 0.500 0.500
Sn: 0.000 0.500 0.000
Sn: 0.000 0.000 0.500
Pt: 0.500 0.000 0.000

[3]
Entry from Alexandria: a crystal of CdRePt relaxed with PBEsol (SCAN).

calculated volume = 15.9 Å³ per atom
raw total energy = -171.2 eV/cell
formation energy from the elements = 15.8 kJ per mole of atoms
E above lowest polymorph = 59 meV/atom

abc: 2.807 2.807 6.991
angles: 90.00 90.00 120.00
Fractional coordinates of all 3 atoms:
Cd: 0.000 0.000 0.998
Pt: 0.333 0.667 0.652
Re: 0.667 0.333 0.350

[4]
Entry from Alexandria: a crystal of CdRePt relaxed with PBEsol (SCAN).

calculated volume = 16.0 Å³ per atom
raw total energy = -171.4 eV/cell
formation energy from the elements = 10.1 kJ per mole of atoms
E above lowest polymorph = 0 meV/atom

abc: 2.765 2.765 6.570
angles: 102.15 102.15 90.00
Fractional coordinates of all 3 atoms:
Re: 0.323 0.323 0.645
Cd: 0.000 0.000 0.000
Pt: 0.677 0.677 0.355

[5]
Entry from Alexandria: a crystal of CdRe3Pt relaxed with PBEsol (SCAN).

calculated volume = 20.2 Å³ per atom
raw total energy = -296.3 eV/cell
formation energy from the elements = 339.4 kJ per mole of atoms

abc: 4.659 4.659 4.659
angles: 90.00 90.00 90.00
Fractional coordinates of all 5 atoms:
Cd: 0.000 0.000 0.000
Re: 0.500 0.000 0.000
Re: 0.000 0.500 0.000
Re: 0.000 0.000 0.500
Pt: 0.500 0.500 0.500

[6]
Entry from Alexandria: a crystal of CdRePt relaxed with PBEsol (SCAN).

calculated volume = 18.9 Å³ per atom
raw total energy = -169.2 eV/cell
formation energy from the elements = 81.6 kJ per mole of atoms
E above lowest polymorph = 741 meV/atom

abc: 4.310 4.310 4.310
angles: 60.00 60.00 60.00
Site moments in Bohr magnetons follow the coordinates.
Fractional coordinates of all 3 atoms:
Pt: 0.500 0.500 0.500  0.03
Re: 0.250 0.250 0.250  0.78
Cd: 0.000 0.000 0.000  0.01

[7]
Entry from Alexandria: a crystal of TaCdRe2Pt relaxed with PBEsol (SCAN).

calculated volume = 21.0 Å³ per atom
raw total energy = -299.2 eV/cell
formation energy from the elements = 197.1 kJ per mole of atoms

abc: 4.707 4.707 4.740
angles: 90.00 90.00 90.00
Fractional coordinates of all 5 atoms:
Ta: 0.500 0.500 0.500
Re: 0.500 0.000 0.000
Re: 0.000 0.500 0.000
Pt: 0.000 0.000 0.000
Cd: 0.000 0.000 0.500

[8]
Entry from Alexandria: a crystal of CdPtRh2 relaxed with PBEsol (SCAN).

calculated volume = 14.9 Å³ per atom
raw total energy = -168.3 eV/cell
formation energy from the elements = -4.4 kJ per mole of atoms

abc: 2.754 4.777 4.777
angles: 108.37 90.00 90.00
Fractional coordinates of all 4 atoms:
Rh: 0.000 0.000 0.500
Rh: 0.000 0.500 0.000
Pt: 0.500 0.500 0.500
Cd: 0.500 0.000 0.000

[9]
Entry from Alexandria: a crystal of CdPt2Rh relaxed with PBEsol (SCAN).

calculated volume = 15.4 Å³ per atom
raw total energy = -205.1 eV/cell
formation energy from the elements = -11.6 kJ per mole of atoms

abc: 2.781 4.814 4.861
angles: 99.20 90.00 106.79
Fractional coordinates of all 4 atoms:
Cd: 0.249 0.498 0.751
Pt: 0.002 0.004 0.006
Pt: 0.752 0.504 0.257
Rh: 0.497 0.994 0.485

[10]
Entry from Alexandria: a crystal of CdPt2Rh relaxed with PBEsol (SCAN).

calculated volume = 15.3 Å³ per atom
raw total energy = -205.2 eV/cell
formation energy from the elements = -14.1 kJ per mole of atoms

abc: 3.899 3.899 4.034
angles: 90.00 90.00 90.00
Fractional coordinates of all 4 atoms:
Cd: 0.000 0.000 0.500
Pt: 0.500 0.000 0.000
Pt: 0.000 0.500 0.000
Rh: 0.500 0.500 0.500

[11]
Entry from Alexandria: a crystal of CdPtRh2 relaxed with PBEsol (SCAN).

calculated volume = 15.1 Å³ per atom
raw total energy = -168.5 eV/cell
formation energy from the elements = -8.4 kJ per mole of atoms

abc: 2.771 2.771 7.874
angles: 90.00 90.00 90.00
Fractional coordinates of all 4 atoms:
Cd: 0.000 0.000 0.495
Rh: 0.500 0.500 0.229
Rh: 0.000 0.000 0.009
Pt: 0.500 0.500 0.767

[12]
Entry from Alexandria: a crystal of CdPt2Rh relaxed with PBEsol (SCAN).

calculated volume = 15.4 Å³ per atom
raw total energy = -204.6 eV/cell
formation energy from the elements = -1.8 kJ per mole of atoms

abc: 2.795 2.795 9.222
angles: 81.28 81.28 60.00
Site moments in Bohr magnetons follow the coordinates.
Fractional coordinates of all 4 atoms:
Cd: 0.752 0.752 0.745  -0.01
Pt: 0.248 0.248 0.256  0.46
Pt: 0.998 0.998 0.005  0.12
Rh: 0.502 0.502 0.493  0.59

[13]
Entry from Alexandria: a crystal of CdPt2Rh relaxed with PBEsol (SCAN).

calculated volume = 15.4 Å³ per atom
raw total energy = -205.0 eV/cell
formation energy from the elements = -9.4 kJ per mole of atoms

abc: 3.969 3.969 4.808
angles: 114.38 114.38 90.00
Site moments in Bohr magnetons follow the coordinates.
Fractional coordinates of all 4 atoms:
Pt: 0.000 0.000 0.000  0.21
Pt: 0.750 0.250 0.500  0.38
Rh: 0.500 0.500 0.000  0.59
Cd: 0.250 0.750 0.500  -0.01

[14]
Entry from Alexandria: a crystal of CdPt4Rh relaxed with PBEsol (SCAN).

calculated volume = 16.4 Å³ per atom
raw total energy = -344.7 eV/cell
formation energy from the elements = 4.0 kJ per mole of atoms

abc: 5.186 5.186 5.186
angles: 60.00 60.00 60.00
Site moments in Bohr magnetons follow the coordinates.
Fractional coordinates of all 6 atoms:
Pt: 0.625 0.625 0.126  0.07
Pt: 0.126 0.625 0.625  0.07
Pt: 0.625 0.126 0.625  0.07
Pt: 0.625 0.625 0.625  0.07
Cd: 0.000 0.000 0.000  -0.01
Rh: 0.250 0.250 0.250  1.30